Record 1
MoRu3Se | PBE-GGA | optimized geometry

Cell: 4.485 4.485 4.485 Å, 90.00 90.00 90.00°
Positions (direct):
Ru  0.000  0.500  0.000
Ru  0.000  0.000  0.500
Ru  0.500  0.000  0.000
Mo  0.500  0.500  0.500
Se  0.000  0.000  0.000

Properties
- Distance to the lowest polymorph of the same formula: 0.00 eV per formula unit

=====

Record 2
MoRu2Se | PBE-GGA | optimized geometry

Cell: 2.792 2.792 8.910 Å, 90.00 90.00 116.24°
Positions (direct):
Mo  0.500  0.500  0.758
Ru  0.000  0.000  0.999
Ru  0.500  0.500  0.251
Se  0.000  0.000  0.492

=====

Record 3
MoRu2Se | PBE-GGA | optimized geometry

Cell: 4.869 4.869 4.528 Å, 87.19 87.19 34.67°
Positions (direct):
Mo  0.250  0.250  0.250
Ru  0.979  0.979  0.015
Ru  0.521  0.521  0.485
Se  0.750  0.750  0.750

=====

D(E_F) across the listed records, respectively: 4.90; 5.62; 4.27 states/eV/f.u..
Total magnetic moment across the listed records, respectively: 0.4442; 0.1926; 0.0000 μB per atom.
Energy relative to the elements, uncorrected across the listed records, respectively: 1.2465; 0.5965; 0.2273 eV per atom.